No. 1
Compound: NiMoIr2I
Source: Alexandria via LeMat-Bulk
Functional: PBE
Structure: optimized geometry

Calculated values
E_form (uncorrected) = 1.785 eV per atom

The structure in POSCAR format:
```
NiMoIr2I
1.0
-2.958 -2.404 2.818
4.074 -1.593 2.917
-0.480 3.825 2.759
I Ni Ir Mo
1 1 2 1
direct
0.000 0.500 0.000 I
0.500 0.500 0.500 Ni
0.500 0.000 0.000 Ir
0.000 0.000 0.500 Ir
0.000 0.000 0.000 Mo
```

No. 2
Compound: AcCd3P3
Source: Alexandria via LeMat-Bulk
Functional: PBE
Structure: optimized geometry

Calculated values
E_form = -0.48 eV per atom

The structure in POSCAR format:
```
AcCd3P3
1.0
-4.806 5.861 0.405
-5.619 0.658 -5.061
-7.840 -1.707 2.790
Cd P Ac
6 6 2
direct
0.441 0.796 0.638 Cd
0.875 0.559 0.362 Cd
0.204 0.875 0.362 Cd
0.796 0.125 0.638 Cd
0.559 0.204 0.362 Cd
0.125 0.441 0.638 Cd
0.573 0.918 0.252 P
0.082 0.744 0.748 P
0.427 0.082 0.748 P
0.256 0.573 0.252 P
0.918 0.256 0.252 P
0.744 0.427 0.748 P
0.334 0.334 0.999 Ac
0.666 0.666 0.001 Ac
```

No. 3
Compound: Pa6Pd3S14
Source: Alexandria via LeMat-Bulk
Functional: PBE
Structure: optimized geometry

Calculated values
E_form (uncorrected) = -1.373 eV per atom

The structure in POSCAR format:
```
Pa6Pd3S14
1.0
-0.815 -5.537 0.765
7.347 -1.909 -5.990
1.635 1.068 9.470
S Pd Pa
14 3 6
direct
0.208 0.521 0.080 S
0.490 0.174 0.773 S
0.716 0.394 0.217 S
0.942 0.333 0.667 S
0.994 0.160 0.892 S
0.716 0.783 0.177 S
0.445 0.000 0.000 S
0.490 0.227 0.401 S
0.994 0.732 0.840 S
0.716 0.823 0.606 S
0.490 0.599 0.826 S
0.208 0.560 0.479 S
0.208 0.920 0.440 S
0.994 0.108 0.268 S
0.362 0.333 0.667 Pd
0.619 0.667 0.333 Pd
0.869 0.000 0.000 Pd
0.231 0.888 0.707 Pa
0.729 0.043 0.486 Pa
0.231 0.818 0.112 Pa
0.729 0.514 0.557 Pa
0.231 0.293 0.182 Pa
0.729 0.443 0.957 Pa
```

No. 4
Compound: K2AcH6
Source: Alexandria via LeMat-Bulk
Functional: PBE
Structure: optimized geometry

Calculated values
total energy = -2.691 eV per atom

The structure in POSCAR format:
```
K2AcH6
1.0
5.626 0.000 3.248
1.875 5.304 3.248
0.000 0.000 6.496
H K Ac
6 2 1
direct
0.741 0.259 0.741 H
0.259 0.741 0.259 H
0.741 0.741 0.259 H
0.259 0.741 0.741 H
0.741 0.259 0.259 H
0.259 0.259 0.741 H
0.750 0.750 0.750 K
0.250 0.250 0.250 K
0.000 0.000 0.000 Ac
```

No. 5
Compound: Cs4AuBr2F
Source: Alexandria via LeMat-Bulk
Functional: PBE
Structure: optimized geometry

Calculated values
E_form (uncorrected) = -1.586 eV per atom

The structure in POSCAR format:
```
Cs4AuBr2F
1.0
5.064 0.000 0.000
0.000 8.659 -0.185
0.000 3.038 8.144
Cs Br Au F
4 2 1 1
direct
0.500 0.718 0.218 Cs
0.500 0.282 0.782 Cs
0.000 0.264 0.236 Cs
0.000 0.736 0.764 Cs
0.000 0.000 0.000 Br
0.500 0.000 0.500 Br
0.000 0.500 0.500 Au
0.500 0.500 0.000 F
```

No. 6
Compound: CaOs2Au
Source: Alexandria via LeMat-Bulk
Functional: PBE
Structure: optimized geometry

Calculated values
E_form = 0.76 eV per atom
E above lowest polymorph = 2.295 eV per formula unit

The structure in POSCAR format:
```
CaOs2Au
1.0
-2.433 -1.195 0.540
0.700 -0.219 2.665
-3.645 8.160 1.628
Os Au Ca
2 1 1
direct
0.000 0.000 0.016 Os
0.000 0.000 0.484 Os
0.500 0.500 0.250 Au
0.500 0.500 0.750 Ca
```

No. 7
Compound: Na3Ac3InSe8
Source: Alexandria via LeMat-Bulk
Functional: PBE
Structure: optimized geometry

Calculated values
E_form (uncorrected) = -1.373 eV per atom

The structure in POSCAR format:
```
Na3Ac3InSe8
1.0
8.912 0.000 0.000
-4.456 7.718 -0.027
0.000 -5.124 6.920
Se Na In Ac
8 3 1 3
direct
0.770 0.540 0.267 Se
0.227 0.997 0.267 Se
0.770 0.997 0.267 Se
0.749 0.498 0.747 Se
0.773 0.003 0.733 Se
0.230 0.460 0.733 Se
0.230 0.003 0.733 Se
0.251 0.502 0.253 Se
0.000 0.500 0.000 Na
0.000 0.000 0.000 Na
0.500 0.500 0.000 Na
0.000 0.000 0.500 In
0.500 0.500 0.500 Ac
0.000 0.500 0.500 Ac
0.500 0.000 0.500 Ac
```

No. 8
Compound: ZrTi3Ir
Source: Alexandria via LeMat-Bulk
Functional: PBE
Structure: optimized geometry

Calculated values
E_form = 0.24 eV per atom
E above lowest polymorph = 0.000 eV per formula unit

The structure in POSCAR format:
```
ZrTi3Ir
1.0
4.748 0.000 0.000
0.000 4.748 0.000
0.000 0.000 4.748
Ti Ir Zr
3 1 1
direct
0.000 0.500 0.000 Ti
0.500 0.000 0.000 Ti
0.000 0.000 0.500 Ti
0.000 0.000 0.000 Ir
0.500 0.500 0.500 Zr
```

No. 9
Compound: Pm6NdSm2
Source: Alexandria via LeMat-Bulk
Functional: PBE
Structure: optimized geometry

Calculated values
E_form = 0.01 eV per atom
E above lowest polymorph = 0.000 eV per formula unit

The structure in POSCAR format:
```
Pm6NdSm2
1.0
4.855 0.000 1.746
2.063 5.669 1.888
-1.173 0.326 10.889
Pm Nd Sm
6 1 2
direct
0.000 0.166 0.833 Pm
0.667 0.055 0.611 Pm
0.333 0.278 0.055 Pm
0.667 0.722 0.945 Pm
0.000 0.834 0.167 Pm
0.333 0.945 0.389 Pm
0.000 0.500 0.500 Nd
0.667 0.389 0.277 Sm
0.333 0.611 0.723 Sm
```

No. 10
Compound: Te2MoPN
Source: Alexandria via LeMat-Bulk
Functional: PBE
Structure: optimized geometry

Calculated values
E_form (uncorrected) = 0.837 eV per atom
E above lowest polymorph = 1.393 eV per formula unit

The structure in POSCAR format:
```
Te2MoPN
1.0
-4.137 3.105 1.611
-3.492 -3.809 -1.626
0.122 -1.382 2.975
P Mo N Te
1 1 1 2
direct
0.000 0.000 0.000 P
0.500 0.500 0.500 Mo
0.000 0.000 0.500 N
0.500 0.000 0.000 Te
0.000 0.500 0.000 Te
```

No. 11
Compound: Pm4Pr15In
Source: Alexandria via LeMat-Bulk
Functional: PBE
Structure: optimized geometry

Calculated values
E_form = -0.04 eV per atom

The structure in POSCAR format:
```
Pm4Pr15In
1.0
5.168 0.000 0.000
0.000 5.168 0.000
0.000 0.000 26.204
In Pr Pm
1 15 4
direct
0.000 0.000 0.000 In
0.500 0.500 0.804 Pr
0.000 0.500 0.500 Pr
0.500 0.000 0.702 Pr
0.500 0.000 0.298 Pr
0.500 0.000 0.500 Pr
0.500 0.500 0.000 Pr
0.500 0.500 0.601 Pr
0.000 0.500 0.095 Pr
0.500 0.000 0.095 Pr
0.500 0.500 0.196 Pr
0.000 0.500 0.702 Pr
0.000 0.500 0.298 Pr
0.000 0.500 0.905 Pr
0.500 0.500 0.399 Pr
0.500 0.000 0.905 Pr
0.000 0.000 0.803 Pm
0.000 0.000 0.197 Pm
0.000 0.000 0.399 Pm
0.000 0.000 0.601 Pm
```

No. 12
Compound: SrTa2Cr
Source: Alexandria via LeMat-Bulk
Functional: PBE
Structure: optimized geometry

Calculated values
E_form = 1.46 eV per atom
E above lowest polymorph = 3.498 eV per formula unit

The structure in POSCAR format:
```
SrTa2Cr
1.0
-2.983 2.279 -3.326
-0.165 -4.203 -2.732
-9.089 -3.788 1.774
Ta Cr Sr
4 2 2
direct
0.875 0.625 0.750 Ta
0.375 0.625 0.250 Ta
0.375 0.125 0.250 Ta
0.375 0.625 0.750 Ta
0.500 0.500 0.000 Cr
0.250 0.750 0.500 Cr
0.000 0.000 0.000 Sr
0.750 0.250 0.500 Sr
```

No. 13
Compound: MgSe
Source: Alexandria via LeMat-Bulk
Functional: PBE
Structure: optimized geometry

Calculated values
E_form (uncorrected) = -1.187 eV per atom

The structure in POSCAR format:
```
MgSe
1.0
-8.517 -6.752 -0.366
2.089 -2.068 -10.471
2.536 -3.262 1.150
Mg Se
8 8
direct
0.370 0.795 0.000 Mg
0.130 0.705 0.500 Mg
0.795 0.630 0.000 Mg
0.705 0.870 0.500 Mg
0.205 0.370 0.000 Mg
0.630 0.205 0.000 Mg
0.295 0.130 0.500 Mg
0.870 0.295 0.500 Mg
0.780 0.395 0.000 Se
0.395 0.220 0.000 Se
0.105 0.280 0.500 Se
0.895 0.720 0.500 Se
0.280 0.895 0.500 Se
0.220 0.605 0.000 Se
0.605 0.780 0.000 Se
0.720 0.105 0.500 Se
```

No. 14
Compound: GaClF2
Source: Alexandria via LeMat-Bulk
Functional: PBE
Structure: optimized geometry

Calculated values
E_form (uncorrected) = -1.255 eV per atom
E above lowest polymorph = 1.035 eV per formula unit

The structure in POSCAR format:
```
GaClF2
1.0
-5.313 1.277 6.454
-4.042 4.304 6.054
-6.571 3.310 4.169
F Cl Ga
2 1 1
direct
0.870 0.870 0.870 F
0.130 0.130 0.130 F
0.000 0.000 0.000 Cl
0.500 0.500 0.500 Ga
```

No. 15
Compound: HoScPa2P4
Source: Alexandria via LeMat-Bulk
Functional: PBE
Structure: optimized geometry

Calculated values
E_form = -1.41 eV per atom

The structure in POSCAR format:
```
HoScPa2P4
1.0
3.932 0.000 0.000
0.000 6.764 -0.119
0.000 2.396 6.369
P Pa Ho Sc
4 2 1 1
direct
0.500 0.746 0.245 P
0.000 0.257 0.242 P
0.500 0.254 0.755 P
0.000 0.743 0.758 P
0.500 0.000 0.500 Pa
0.000 0.000 0.000 Pa
0.000 0.500 0.500 Ho
0.500 0.500 0.000 Sc
```

No. 16
Compound: LaSm6Dy3Er2
Source: Alexandria via LeMat-Bulk
Functional: PBE
Structure: optimized geometry

Calculated values
E_form = 0.02 eV per atom

The structure in POSCAR format:
```
LaSm6Dy3Er2
1.0
6.234 0.000 0.023
-3.115 5.400 0.023
-1.083 -1.875 11.719
La Sm Er Dy
1 6 2 3
direct
0.000 0.000 0.000 La
0.084 0.419 0.252 Sm
0.419 0.084 0.252 Sm
0.250 0.250 0.748 Sm
0.750 0.750 0.252 Sm
0.581 0.916 0.748 Sm
0.916 0.581 0.748 Sm
0.333 0.667 0.000 Er
0.667 0.333 0.000 Er
0.167 0.833 0.500 Dy
0.500 0.500 0.500 Dy
0.833 0.167 0.500 Dy
```

No. 17
Compound: Ni2OsPb
Source: Alexandria via LeMat-Bulk
Functional: PBE
Structure: optimized geometry

Calculated values
E_form = 0.57 eV per atom

The structure in POSCAR format:
```
Ni2OsPb
1.0
-3.569 -2.020 -1.698
-1.754 -4.049 -0.478
-2.923 -0.075 4.221
Pb Ni Os
1 2 1
direct
0.250 0.250 0.250 Pb
0.011 0.011 0.939 Ni
0.489 0.489 0.561 Ni
0.750 0.750 0.750 Os
```

No. 18
Compound: HfI2NCl
Source: Alexandria via LeMat-Bulk
Functional: PBE
Structure: optimized geometry

Calculated values
E_form (uncorrected) = 1.297 eV per atom
E above lowest polymorph = 6.904 eV per formula unit

The structure in POSCAR format:
```
HfI2NCl
1.0
6.090 0.000 0.000
0.000 6.090 0.000
0.000 0.000 3.453
I Cl N Hf
2 1 1 1
direct
0.500 0.000 0.000 I
0.000 0.500 0.000 I
0.000 0.000 0.000 Cl
0.000 0.000 0.500 N
0.500 0.500 0.500 Hf
```

No. 19
Compound: BaTeAs2Pb
Source: Alexandria via LeMat-Bulk
Functional: PBE
Structure: optimized geometry

Calculated values
E_form (uncorrected) = 0.256 eV per atom

The structure in POSCAR format:
```
BaTeAs2Pb
1.0
-2.659 4.792 0.403
-1.129 -1.134 6.046
4.705 2.498 1.347
As Ba Te Pb
2 1 1 1
direct
0.000 0.000 0.500 As
0.500 0.000 0.000 As
0.000 0.500 0.000 Ba
0.000 0.000 0.000 Te
0.500 0.500 0.500 Pb
```

No. 20
Compound: InGa2Pb
Source: Alexandria via LeMat-Bulk
Functional: PBE
Structure: optimized geometry

Calculated values
E_form = 0.04 eV per atom
E above lowest polymorph = 0.000 eV per formula unit

The structure in POSCAR format:
```
InGa2Pb
1.0
6.066 0.735 0.000
-2.579 4.477 0.000
0.000 0.000 6.698
In Pb Ga
2 2 4
direct
0.096 0.801 0.250 In
0.904 0.199 0.750 In
0.318 0.903 0.750 Pb
0.682 0.097 0.250 Pb
0.272 0.386 0.449 Ga
0.728 0.614 0.949 Ga
0.272 0.386 0.051 Ga
0.728 0.614 0.551 Ga
```

| no. | magnetization (μB/cell) |
| --- | --- |
| 1 | 0.58 |
| 2 | 0.00 |
| 3 | 0.28 |
| 4 | 1.03 |
| 5 | 0.00 |
| 6 | 0.00 |
| 7 | 0.00 |
| 8 | 0.00 |
| 9 | 0.00 |
| 10 | 2.65 |
| 11 | 0.00 |
| 12 | 5.54 |
| 13 | 0.00 |
| 14 | 0.00 |
| 15 | 0.00 |
| 16 | 0.00 |
| 17 | 0.00 |
| 18 | 0.26 |
| 19 | 0.00 |
| 20 | 0.00 |